Compound: CdTe2
Source: the Alexandria database
Functional: PBE
Structure: optimized geometry

Fermi-level density of states = 0.596 states/eV/atom
formation energy without anion corrections = 0.277 eV/atom
DFT total energy = -2.123 eV per atom
size of the total moment = 0.00 μB per cell

Lattice parameters (Å, degrees): 5.9014 5.9014 14.4221 90.00 90.00 120.00
Atoms (fractional coordinates):
Cd: 0.3333 0.6667 0.0414
Cd: 0.3333 0.6667 0.4586
Cd: 0.6667 0.3333 0.5414
Cd: 0.6667 0.3333 0.9586
Te: 0.0000 0.0000 0.0000
Te: 0.0000 0.0000 0.5000
Te: 0.1665 0.3329 0.2500
Te: 0.1665 0.8335 0.2500
Te: 0.3329 0.1665 0.7500
Te: 0.6671 0.8335 0.2500
Te: 0.8335 0.1665 0.7500
Te: 0.8335 0.6671 0.7500